The following is a GGA-PBEsol calculation of a geometry-optimized Y5Zn4 structure, from Alexandria.

a = 6.4464 Å, b = 8.6745 Å, c = 8.6745 Å
α = 120.00°, β = 90.00°, γ = 90.00°
Sites, in units of the cell vectors:
Y 0.7500 0.0000 0.7135
Y 0.7500 0.7135 0.0000
Y 0.7500 0.2865 0.2865
Y 0.2500 0.0000 0.2865
Y 0.2500 0.2865 0.0000
Y 0.2500 0.7135 0.7135
Y 0.0000 0.3333 0.6667
Y 0.5000 0.6667 0.3333
Y 0.0000 0.6667 0.3333
Y 0.5000 0.3333 0.6667
Zn 0.0000 0.0000 0.0000
Zn 0.5000 0.0000 0.0000
Zn 0.7500 0.0000 0.3749
Zn 0.7500 0.3749 0.0000
Zn 0.7500 0.6251 0.6251
Zn 0.2500 0.0000 0.6251
Zn 0.2500 0.6251 0.0000
Zn 0.2500 0.3749 0.3749

* DFT formation energy: -0.23 eV/atom
* total magnetic moment: 0.0 μB/cell
* space-group type: P6_3/mcm (193)
* E_tot: -4.7215 eV/atom

The following is a GGA-PBEsol calculation of a geometry-optimized YZn structure, from Alexandria.

a = 3.6072 Å, b = 4.4276 Å, c = 5.8721 Å
α = 90.00°, β = 107.89°, γ = 90.00°
Sites, in units of the cell vectors:
Y 0.6512 0.7500 0.3024
Y 0.3488 0.2500 0.6976
Zn 0.9314 0.7500 0.8628
Zn 0.0686 0.2500 0.1372

* DFT formation energy: -0.32 eV/atom
* total magnetic moment: 0.0 μB/cell
* space-group type: Cmcm (63)
* E_tot: -4.5194 eV/atom

The following is a GGA-PBEsol calculation of a geometry-optimized Y2Zn structure, from Alexandria.

a = 3.6914 Å, b = 6.6490 Å, c = 6.6155 Å
α = 90.01°, β = 90.00°, γ = 106.12°
Sites, in units of the cell vectors:
Y 0.0648 0.1297 0.9359
Y 0.3832 0.7664 0.2293
Y 0.6573 0.3147 0.4355
Y 0.3390 0.6779 0.7291
Zn 0.9833 0.9665 0.5019
Zn 0.7390 0.4781 0.0017

* DFT formation energy: -0.16 eV/atom
* total magnetic moment: 0.0 μB/cell
* space-group type: Cmc2_1 (36)
* E_tot: -5.2332 eV/atom

The following is a GGA-PBEsol calculation of a geometry-optimized YZn structure, from Alexandria.

a = 4.4952 Å, b = 4.4952 Å, c = 4.4952 Å
α = 60.00°, β = 60.00°, γ = 60.00°
Sites, in units of the cell vectors:
Y 0.0000 0.0000 0.0000
Zn 0.2500 0.2500 0.2500

* DFT formation energy: 0.69 eV/atom
* total magnetic moment: 0.0 μB/cell
* space-group type: F-43m (216)
* E_tot: -3.5092 eV/atom

The following is a GGA-PBEsol calculation of a geometry-optimized Y4Zn structure, from Alexandria.

a = 5.8192 Å, b = 5.8192 Å, c = 5.8192 Å
α = 109.47°, β = 109.47°, γ = 109.47°
Sites, in units of the cell vectors:
Y 0.0000 0.0000 0.5000
Y 0.0000 0.5000 0.0000
Y 0.5000 0.0000 0.0000
Y 0.5000 0.5000 0.5000
Zn 0.0000 0.0000 0.0000

* DFT formation energy: 0.36 eV/atom
* total magnetic moment: 0.0 μB/cell
* space-group type: Im-3m (229)
* polymorph energy (0 for the lowest one): 0.495 eV per atom
* E_tot: -5.4160 eV/atom

The following is a GGA-PBEsol calculation of a geometry-optimized YZn structure, from Alexandria.

a = 3.5180 Å, b = 3.5180 Å, c = 3.5180 Å
α = 90.00°, β = 90.00°, γ = 90.00°
Sites, in units of the cell vectors:
Y 0.0000 0.0000 0.0000
Zn 0.5000 0.5000 0.5000

* DFT formation energy: -0.36 eV/atom
* total magnetic moment: 0.0 μB/cell
* space-group type: Pm-3m (221)
* E_tot: -4.5628 eV/atom

Number 6 is which compound?
YZn